## a
First-principles (PBE-GGA) data for an optimized crystal structure of MgCd5Rh2, as listed in Alexandria.

Lattice parameters (Å, degrees): 4.1714 5.9234 11.8693 90.00 90.00 90.00
With the nearest neighbours (Å) after each atom.
Atoms (fractional coordinates):
Cd: 0.0000 0.0039 0.2509  7 Cd 2.94-2.98, 1 Mg 2.96, 4 Rh 2.97-3.03
Cd: 0.5000 0.7464 0.6270  4 Rh 2.90-3.03, 6 Cd 2.94-2.96, 2 Mg 2.98
Cd: 0.0000 0.4961 0.7509  7 Cd 2.94-2.98, 1 Mg 2.96, 4 Rh 2.97-3.03
Cd: 0.5000 0.2536 0.3730  4 Rh 2.90-3.03, 6 Cd 2.94-2.96, 2 Mg 2.98
Cd: 0.0000 0.5000 0.5000  4 Rh 2.95, 6 Cd 2.96-2.98, 2 Mg 2.96
Cd: 0.0000 0.9961 0.7491  7 Cd 2.94-2.98, 1 Mg 2.96, 4 Rh 2.97-3.03
Cd: 0.5000 0.7536 0.1270  4 Rh 2.90-3.03, 6 Cd 2.94-2.96, 2 Mg 2.98
Cd: 0.0000 0.0000 0.0000  4 Rh 2.95, 6 Cd 2.96-2.98, 2 Mg 2.96
Cd: 0.0000 0.5039 0.2491  7 Cd 2.94-2.98, 1 Mg 2.96, 4 Rh 2.97-3.03
Cd: 0.5000 0.2464 0.8730  4 Rh 2.90-3.03, 6 Cd 2.94-2.96, 2 Mg 2.98
Mg: 0.0000 0.5000 0.0000  4 Rh 2.88, 8 Cd 2.96-2.98
Mg: 0.0000 0.0000 0.5000  4 Rh 2.88, 8 Cd 2.96-2.98
Rh: 0.5000 0.7618 0.3825  2 Mg 2.88, 10 Cd 2.90-3.03
Rh: 0.5000 0.2618 0.1175  2 Mg 2.88, 10 Cd 2.90-3.03
Rh: 0.5000 0.7382 0.8825  2 Mg 2.88, 10 Cd 2.90-3.03
Rh: 0.5000 0.2382 0.6175  2 Mg 2.88, 10 Cd 2.90-3.03

Values from the calculation:
As for the space group: No. 55.

***

## b
First-principles (PBE-GGA) data for an optimized crystal structure of MgCd5Rh2, as listed in Alexandria.

Lattice parameters (Å, degrees): 4.5229 6.3937 6.3937 82.82 69.29 69.29
With the nearest neighbours (Å) after each atom.
Atoms (fractional coordinates):
Cd: 0.3195 0.5081 0.8529  3 Rh 2.77-2.97, 6 Cd 2.87-3.09, 1 Mg 3.07
Cd: 0.3195 0.8529 0.5081  3 Rh 2.77-2.97, 6 Cd 2.87-3.09, 1 Mg 3.07
Cd: 0.0000 0.5000 0.5000  2 Rh 2.78, 8 Cd 3.09
Cd: 0.6805 0.4919 0.1471  3 Rh 2.77-2.97, 6 Cd 2.87-3.09, 1 Mg 3.07
Cd: 0.6805 0.1471 0.4919  3 Rh 2.77-2.97, 6 Cd 2.87-3.09, 1 Mg 3.07
Mg: 0.0000 0.0000 0.0000  4 Rh 2.69
Rh: 0.6715 0.8285 0.8285  2 Mg 2.69, 7 Cd 2.77-2.97, 1 Rh 2.90
Rh: 0.3285 0.1715 0.1715  2 Mg 2.69, 7 Cd 2.77-2.97, 1 Rh 2.90

Values from the calculation:
As for the space group: No. 71.

***

Most stable: a

***

## a
First-principles (PBE-GGA) data for an optimized crystal structure of Mg6CdRh, as listed in Alexandria.

Lattice parameters (Å, degrees): 8.0205 8.0205 8.0205 146.12 146.12 48.67
With the nearest neighbours (Å) after each atom.
Atoms (fractional coordinates):
Mg: 0.2435 0.2435 0.0000  12 Mg 3.06-3.31
Mg: 0.6087 0.1087 0.5000  2 Cd 2.83, 2 Rh 2.83, 2 Mg 3.06
Mg: 0.1087 0.6087 0.5000  2 Cd 2.83, 2 Rh 2.83, 2 Mg 3.06
Mg: 0.3913 0.8913 0.5000  2 Cd 2.83, 2 Rh 2.83, 2 Mg 3.06
Mg: 0.7565 0.7565 0.0000  12 Mg 3.06-3.31
Mg: 0.8913 0.3913 0.5000  2 Cd 2.83, 2 Rh 2.83, 2 Mg 3.06
Rh: 0.0000 0.0000 0.0000  8 Mg 2.83
Cd: 0.5000 0.5000 0.0000  8 Mg 2.83

Values from the calculation:
As for the space group: No. 139.

***

## b
First-principles (PBE-GGA) data for an optimized crystal structure of Mg6CdRh, as listed in Alexandria.

Lattice parameters (Å, degrees): 6.0646 6.3137 6.1474 59.10 76.68 63.34
With the nearest neighbours (Å) after each atom.
Atoms (fractional coordinates):
Mg: 0.2606 0.5175 0.4128  1 Rh 2.65, 1 Cd 2.79
Mg: 0.7354 0.7370 0.0000  1 Rh 2.49, 1 Cd 2.78
Mg: 0.2646 0.2630 0.0000  1 Rh 2.49, 1 Cd 2.78
Mg: 0.2606 0.9304 0.5872  1 Rh 2.65, 1 Cd 2.79
Mg: 0.7394 0.4825 0.5872  1 Rh 2.65, 1 Cd 2.79
Mg: 0.7394 0.0696 0.4128  1 Rh 2.65, 1 Cd 2.79
Rh: 0.5000 0.5000 0.0000  6 Mg 2.49-2.65
Cd: 0.0000 0.0000 0.0000  6 Mg 2.78-2.79

Values from the calculation:
As for the space group: No. 12.

***

Most stable: a

***

## a
First-principles (PBE-GGA) data for an optimized crystal structure of Mg2Cd2Rh, as listed in Alexandria.

Lattice parameters (Å, degrees): 3.2424 3.2424 9.2267 100.12 100.12 90.00
With the nearest neighbours (Å) after each atom.
Atoms (fractional coordinates):
Cd: 0.1931 0.1931 0.3862  4 Mg 3.05, 8 Cd 3.07-3.24
Cd: 0.8069 0.8069 0.6138  4 Mg 3.05, 8 Cd 3.07-3.24
Mg: 0.4193 0.4193 0.8386  4 Rh 2.71, 1 Mg 2.88
Mg: 0.5807 0.5807 0.1614  4 Rh 2.71, 1 Mg 2.88
Rh: 0.0000 0.0000 0.0000  8 Mg 2.71

Values from the calculation:
As for the space group: No. 139.

***

## b
First-principles (PBE-GGA) data for an optimized crystal structure of Mg2Cd2Rh, as listed in Alexandria.

Lattice parameters (Å, degrees): 7.1437 7.1437 3.9668 90.00 90.00 90.00
With the nearest neighbours (Å) after each atom.
Atoms (fractional coordinates):
Cd: 0.1392 0.3608 0.0000  6 Mg 2.76-2.99, 2 Rh 2.76, 1 Cd 2.81
Cd: 0.8608 0.6392 0.0000  6 Mg 2.76-2.99, 2 Rh 2.76, 1 Cd 2.81
Cd: 0.3608 0.8608 0.0000  6 Mg 2.76-2.99, 2 Rh 2.76, 1 Cd 2.81
Cd: 0.6392 0.1392 0.0000  6 Mg 2.76-2.99, 2 Rh 2.76, 1 Cd 2.81
Mg: 0.6714 0.8286 0.5000  6 Cd 2.76-2.99
Mg: 0.1714 0.6714 0.5000  6 Cd 2.76-2.99
Mg: 0.3286 0.1714 0.5000  6 Cd 2.76-2.99
Mg: 0.8286 0.3286 0.5000  6 Cd 2.76-2.99
Rh: 0.0000 0.0000 0.0000  4 Cd 2.76
Rh: 0.5000 0.5000 0.0000  4 Cd 2.76

Values from the calculation:
As for the space group: No. 127.

***

Most stable: a

***

## a
First-principles (PBE-GGA) data for an optimized crystal structure of Mg8CdRh2, as listed in Alexandria.

Lattice parameters (Å, degrees): 4.9431 7.1625 7.1625 111.06 96.98 96.98
With the nearest neighbours (Å) after each atom.
Atoms (fractional coordinates):
Mg: 0.9201 0.9441 0.6739  2 Rh 2.66-2.69
Mg: 0.9201 0.6739 0.9441  2 Rh 2.66-2.69
Mg: 0.5000 0.2543 0.7457  2 Rh 2.60
Mg: 0.5000 0.7457 0.2543  2 Rh 2.60
Mg: 0.6895 0.3769 0.3769  2 Rh 2.65
Mg: 0.0799 0.0559 0.3261  2 Rh 2.66-2.69
Mg: 0.0799 0.3261 0.0559  2 Rh 2.66-2.69
Mg: 0.3105 0.6231 0.6231  2 Rh 2.65
Rh: 0.0000 0.6765 0.3235  8 Mg 2.60-2.69
Rh: 0.0000 0.3235 0.6765  8 Mg 2.60-2.69
Cd: 0.5000 0.0000 0.0000  12 Mg 3.00-3.35

Values from the calculation:
As for the space group: No. 12.

***

## b
First-principles (PBE-GGA) data for an optimized crystal structure of Mg8CdRh2, as listed in Alexandria.

Lattice parameters (Å, degrees): 4.6087 6.8084 8.0136 116.69 106.70 90.02
With the nearest neighbours (Å) after each atom.
Atoms (fractional coordinates):
Mg: 0.3104 0.3638 0.2561  6 Mg 2.78-3.10, 3 Rh 2.91-3.06, 1 Cd 2.94
Mg: 0.6581 0.2395 0.9521  2 Rh 2.72-2.77, 2 Mg 2.94, 2 Cd 3.00
Mg: 0.1472 0.4950 0.9310  8 Mg 2.87-3.04, 2 Rh 2.99-3.00, 1 Cd 3.12
Mg: 0.9720 0.0616 0.5809  3 Rh 2.71-2.91, 4 Mg 2.88-2.93, 1 Cd 2.93
Mg: 0.4851 0.7626 0.6061  6 Mg 2.78-3.08, 1 Rh 2.97, 2 Cd 3.03
Mg: 0.3379 0.9306 0.3139  3 Rh 2.81-2.98, 6 Mg 2.93-3.08
Mg: 0.6884 0.7772 0.0130  2 Rh 2.65-2.94, 2 Cd 2.85, 2 Mg 2.87
Mg: 0.9411 0.4475 0.5190  3 Rh 2.68-2.71, 3 Mg 2.88-2.94
Rh: 0.5061 0.3507 0.6488  10 Mg 2.71-3.00
Rh: 0.8240 0.6390 0.2837  6 Mg 2.65-2.92
Cd: 0.1296 0.9326 0.8953  9 Mg 2.85-3.12

Values from the calculation:
As for the space group: No. 8.

***

Most stable: b

***

## a
First-principles (PBE-GGA) data for an optimized crystal structure of Mg4CdRh2, as listed in Alexandria.

Lattice parameters (Å, degrees): 4.4341 4.4341 6.5957 90.00 90.00 90.00
With the nearest neighbours (Å) after each atom.
Atoms (fractional coordinates):
Mg: 0.0000 0.5000 0.7256  4 Rh 2.67-2.86, 2 Cd 2.86, 1 Mg 2.98
Mg: 0.0000 0.5000 0.2744  4 Rh 2.67-2.86, 2 Cd 2.86, 1 Mg 2.98
Mg: 0.5000 0.0000 0.7256  4 Rh 2.67-2.86, 2 Cd 2.86, 1 Mg 2.98
Mg: 0.5000 0.0000 0.2744  4 Rh 2.67-2.86, 2 Cd 2.86, 1 Mg 2.98
Cd: 0.5000 0.5000 0.0000  8 Mg 2.86, 4 Rh 3.14
Rh: 0.5000 0.5000 0.5000  8 Mg 2.67
Rh: 0.0000 0.0000 0.0000  8 Mg 2.86, 4 Cd 3.14

Values from the calculation:
As for the space group: No. 123.

***

## b
First-principles (PBE-GGA) data for an optimized crystal structure of Mg4CdRh2, as listed in Alexandria.

Lattice parameters (Å, degrees): 4.9568 4.9568 6.7802 111.44 111.44 90.00
With the nearest neighbours (Å) after each atom.
Atoms (fractional coordinates):
Mg: 0.7500 0.2500 0.5000  2 Mg 2.90, 4 Rh 2.92
Mg: 0.0000 0.5000 0.0000  2 Cd 2.48
Mg: 0.5000 0.0000 0.0000  2 Cd 2.48
Mg: 0.2500 0.7500 0.5000  2 Mg 2.90, 4 Rh 2.92
Cd: 0.0000 0.0000 0.0000  4 Mg 2.48
Rh: 0.6176 0.6176 0.2351  1 Rh 2.73, 8 Mg 2.83-2.92
Rh: 0.3824 0.3824 0.7649  1 Rh 2.73, 8 Mg 2.83-2.92

Values from the calculation:
As for the space group: No. 139.

***

Most stable: a

***

## a
First-principles (PBE-GGA) data for an optimized crystal structure of MgZrCdRh, as listed in Alexandria.

Lattice parameters (Å, degrees): 4.7299 4.7299 4.7299 60.00 60.00 60.00
With the nearest neighbours (Å) after each atom.
Atoms (fractional coordinates):
Zr: 0.5000 0.5000 0.5000  4 Rh 2.90, 4 Cd 2.90
Mg: 0.0000 0.0000 0.0000  4 Cd 2.90, 4 Rh 2.90
Cd: 0.7500 0.7500 0.7500  4 Zr 2.90, 4 Mg 2.90
Rh: 0.2500 0.2500 0.2500  4 Zr 2.90, 4 Mg 2.90

Values from the calculation:
As for the space group: No. 216.

***

## b
First-principles (PBE-GGA) data for an optimized crystal structure of MgZrCdRh, as listed in Alexandria.

Lattice parameters (Å, degrees): 3.2357 3.2357 7.3335 90.00 90.00 90.00
With the nearest neighbours (Å) after each atom.
Atoms (fractional coordinates):
Zr: 0.5000 0.5000 0.7820  4 Rh 2.76
Rh: 0.0000 0.0000 0.5716  4 Zr 2.76, 4 Mg 2.81
Mg: 0.5000 0.5000 0.3491  4 Rh 2.81, 4 Cd 3.01
Cd: 0.0000 0.0000 0.0820  4 Mg 3.01, 4 Zr 3.17, 4 Cd 3.24

Values from the calculation:
As for the space group: No. 99.

***

Most stable: b